(1)
Compound: LaCoAs
Source: Alexandria
Functional: GGA-PBE
Structure: relaxed

Energy relative to the elements ... 54 kJ/mol of formula units

Cell: 6.880 6.880 6.880 Å, 90.00 90.00 90.00°
Space group F-43m (No. 216)
Symmetry-distinct sites (fractional):
La: 0.000 0.000 0.000 [4 per cell]
Co: 0.250 0.250 0.750 [4 per cell]
As: 0.250 0.250 0.250 [4 per cell]

***

(2)
Compound: MnW3Cl
Source: Alexandria
Functional: GGA-PBE
Structure: relaxed

Calculated total energy ... -8.16 eV per atom

Cell: 4.551 4.551 4.551 Å, 90.00 90.00 90.00°
Space group Pm-3m (No. 221)
Symmetry-distinct sites (fractional):
Mn: 0.000 0.000 0.000 [1 per cell]
W: 0.000 0.000 0.500 [3 per cell]
Cl: 0.500 0.500 0.500 [1 per cell]

***

(3)
Compound: TbYSc2In4
Source: Alexandria
Functional: GGA-PBE
Structure: relaxed

Energy relative to the elements ... -337 kJ/mol of formula units

Cell: 5.1872 5.1872 25.4467 Å, 90.00 90.00 120.00°
Space group R-3m (No. 166, hexagonal axes)
Symmetry-distinct sites (fractional):
Tb: 0.0000 0.0000 0.0000 [3 per cell]
Y: 0.0000 0.0000 0.5000 [3 per cell]
Sc: 0.0000 0.0000 0.2500 [6 per cell]
In: 0.0000 0.0000 0.1251 [6 per cell]
In: 0.0000 0.0000 0.3751 [6 per cell]

***

(4)
Compound: Te2Se
Source: Alexandria
Functional: GGA-PBE
Structure: relaxed

Calculated total energy ... -3.14 eV per atom

Cell: 3.962 25.255 3.967 Å, 90.00 90.00 90.00°
Space group Cmcm (No. 63)
Symmetry-distinct sites (fractional):
Te: 0.000 0.066 0.250 [4 per cell]
Te: 0.000 0.271 0.750 [4 per cell]
Se: 0.000 0.409 0.250 [4 per cell]

***

(5)
Compound: La2VPb2
Source: Alexandria
Functional: GGA-PBE
Structure: relaxed

Energy relative to the elements ... -103 kJ/mol of formula units

Cell: 7.831 7.831 4.890 Å, 90.00 90.00 90.00°
Space group P4/mbm (No. 127)
Symmetry-distinct sites (fractional):
La: 0.172 0.328 0.000 [4 per cell]
V: 0.000 0.000 0.500 [2 per cell]
Pb: 0.138 0.638 0.500 [4 per cell]

***

(6)
Compound: CeSm2NpAs4
Source: Alexandria
Functional: GGA-PBE
Structure: relaxed

Energy relative to the elements ... -995 kJ/mol of formula units

Cell: 7.241 4.178 7.275 Å, 90.00 109.41 90.00°
Space group P2/m (No. 10)
Symmetry-distinct sites (fractional):
Ce: 0.000 0.000 0.000 [1 per cell]
Sm: 0.000 0.500 0.500 [1 per cell]
Sm: 0.500 0.000 0.500 [1 per cell]
Np: 0.500 0.500 0.000 [1 per cell]
As: 0.251 0.500 0.245 [2 per cell]
As: 0.256 0.000 0.757 [2 per cell]

***

(7)
Compound: PuSbAs2
Source: Alexandria
Functional: GGA-PBE
Structure: relaxed

Calculated total energy ... -7.27 eV per atom

Cell: 3.873 3.873 6.080 Å, 90.00 90.00 90.00°
Space group P4/mmm (No. 123)
Symmetry-distinct sites (fractional):
Pu: 0.000 0.000 0.000 [1 per cell]
Sb: 0.000 0.000 0.500 [1 per cell]
As: 0.500 0.500 0.222 [2 per cell]

***

(8)
Compound: HoTlAg
Source: Alexandria
Functional: GGA-PBE
Structure: relaxed

Energy relative to the elements ... 11 kJ/mol of formula units

Cell: 4.911 3.551 5.361 Å, 90.00 106.07 90.00°
Space group P2/m (No. 10)
Symmetry-distinct sites (fractional):
Ho: 0.000 0.000 0.000 [1 per cell]
Tl: 0.000 0.500 0.500 [1 per cell]
Ag: 0.500 0.500 0.000 [1 per cell]

***

Total magnetization readings, ordered: 7.7; 0.0; 0.0; 0.0; 6.4; 4.5; 5.0; 0.0 μB/cell